1.
# PBE-GGA CdMoSe2N, relaxed
data_CdMoSe2N
_cell_length_a 5.137
_cell_length_b 5.137
_cell_length_c 3.810
_cell_angle_alpha 90.00
_cell_angle_beta 90.00
_cell_angle_gamma 90.00
_space_group_name_H-M_alt 'P 4/m m m'
_space_group_IT_number 123
_space_group_name_Hall '-P 4 2'
loop_
_atom_site_label
_atom_site_type_symbol
_atom_site_fract_x
_atom_site_fract_y
_atom_site_fract_z
_atom_site_occupancy
Cd1 Cd 0.000 0.000 0.000 1
Mo1 Mo 0.500 0.500 0.500 1
Se1 Se 0.000 0.500 0.500 1
N1 N 0.500 0.500 0.000 1
# Spin magnetization = 0.0 μB/f.u.
# Formation energy from raw total energies = 0.074 eV/atom
# Calculated total energy = -5.3340 eV per atom


2.
# PBE-GGA Mg2FePtN, relaxed
data_Mg2FePtN
_cell_length_a 4.345
_cell_length_b 4.345
_cell_length_c 3.528
_cell_angle_alpha 90.00
_cell_angle_beta 90.00
_cell_angle_gamma 90.00
_space_group_name_H-M_alt 'P 4/m m m'
_space_group_IT_number 123
_space_group_name_Hall '-P 4 2'
loop_
_atom_site_label
_atom_site_type_symbol
_atom_site_fract_x
_atom_site_fract_y
_atom_site_fract_z
_atom_site_occupancy
Mg1 Mg 0.000 0.500 0.000 1
Fe1 Fe 0.000 0.000 0.500 1
Pt1 Pt 0.500 0.500 0.500 1
N1 N 0.000 0.000 0.000 1
# Spin magnetization = 0.0 μB/f.u.
# Formation energy from raw total energies = -0.466 eV/atom
# Calculated total energy = -5.6695 eV per atom


3.
# PBE-GGA Al3Ru, relaxed
data_Al3Ru
_cell_length_a 3.231
_cell_length_b 3.231
_cell_length_c 5.553
_cell_angle_alpha 90.00
_cell_angle_beta 90.00
_cell_angle_gamma 90.00
_space_group_name_H-M_alt 'P 4/m m m'
_space_group_IT_number 123
_space_group_name_Hall '-P 4 2'
loop_
_atom_site_label
_atom_site_type_symbol
_atom_site_fract_x
_atom_site_fract_y
_atom_site_fract_z
_atom_site_occupancy
Al1 Al 0.000 0.000 0.000 1
Al2 Al 0.500 0.500 0.261 1
Ru1 Ru 0.000 0.000 0.500 1
# Spin magnetization = 0.0 μB/f.u.
# Calculated total energy = -5.5628 eV per atom
# ΔH_f (0 K) = -0.437 eV/atom